The following is a DFT calculation (GGA-PBE) of crystalline Mg2InAg6 at its relaxed geometry.

Values from the calculation:
Theoretical density in kg/m3: 8051
DOS(E_F) in states/eV per cell: 4.7
Uncorrected energy in eV/atom: -2.69

abc: 8.772 8.772 4.345
angles: 90.00 90.00 90.00
Space group P4_2/mnm (No. 136)
Inequivalent atoms, fractional coordinates:
Mg 0.184 0.184 0.000
In 0.000 0.000 0.500
Ag 0.012 0.335 0.500
Ag 0.155 0.845 0.000

***

The following is a DFT calculation (GGA-PBE) of crystalline CaTlNiSn2 at its relaxed geometry.

Values from the calculation:
Theoretical density in kg/m3: 6756
DOS(E_F) in states/eV per cell: 3.3
Uncorrected energy in eV/atom: -3.83

abc: 4.956 4.956 5.410
angles: 90.00 90.00 90.00
Space group P4/mmm (No. 123)
Inequivalent atoms, fractional coordinates:
Ca 0.000 0.000 0.000
Tl 0.500 0.500 0.000
Ni 0.000 0.000 0.500
Sn 0.000 0.500 0.500

***

| no. | magnetic moment (μB/cell) | ΔE_f (meV/atom) |
| --- | --- | --- |
| 1 | 0.00 | -133 |
| 2 | 0.00 | -201 |